Record 1
First-principles (GGA-PBE) data for a geometry-optimized TcPt structure, as listed in Alexandria via LeMat-Bulk.

```
TcPt
1.0
4.505 -1.355 0.000
4.505 1.355 0.000
-4.218 0.000 5.057
Tc Pt
2 2
direct
0.000 0.000 0.000
0.619 0.619 0.759
0.240 0.240 0.539
0.852 0.852 0.279
```

Results
The energy relative to the elements comes out at 0.002 eV/atom. For the polymorph energy (0 for the lowest one), the calculation gives 0.160 eV/atom.



Record 2
First-principles (GGA-PBE) data for a geometry-optimized TcPt2 structure, as listed in Alexandria via LeMat-Bulk.

```
TcPt2
1.0
0.000 3.013 3.013
3.013 0.000 3.013
3.013 3.013 0.000
Tc Pt
1 2
direct
0.000 0.000 0.000
0.250 0.250 0.250
0.750 0.750 0.750
```

Results
The energy relative to the elements comes out at 0.435 eV/atom. For the polymorph energy (0 for the lowest one), the calculation gives 0.627 eV/atom.



Record 3
First-principles (GGA-PBE) data for a geometry-optimized Tc5Pt4 structure, as listed in Alexandria via LeMat-Bulk.

```
Tc5Pt4
1.0
7.636 0.000 0.000
-3.818 6.613 0.000
0.000 0.000 5.441
Tc Pt
10 8
direct
0.000 0.332 0.250
0.000 0.668 0.750
0.332 0.000 0.250
0.332 0.332 0.750
0.333 0.667 0.000
0.333 0.667 0.500
0.667 0.333 0.000
0.667 0.333 0.500
0.668 0.000 0.750
0.668 0.668 0.250
0.000 0.000 0.000
0.000 0.000 0.500
0.000 0.340 0.750
0.000 0.660 0.250
0.340 0.000 0.750
0.340 0.340 0.250
0.660 0.000 0.250
0.660 0.660 0.750
```

Results
The energy relative to the elements comes out at 0.090 eV/atom. For the polymorph energy (0 for the lowest one), the calculation gives 0.287 eV/atom.



Record 4
First-principles (GGA-PBE) data for a geometry-optimized TcPt structure, as listed in Alexandria via LeMat-Bulk.

```
TcPt
1.0
2.755 0.000 0.000
0.000 2.755 0.000
0.000 0.000 7.929
Tc Pt
2 2
direct
0.250 0.250 0.114
0.750 0.750 0.886
0.250 0.250 0.635
0.750 0.750 0.365
```

Results
The energy relative to the elements comes out at -0.158 eV/atom. For the polymorph energy (0 for the lowest one), the calculation gives 0.000 eV/atom.



Record 5
First-principles (GGA-PBE) data for a geometry-optimized TcPt2 structure, as listed in Alexandria via LeMat-Bulk.

```
TcPt2
1.0
-1.383 1.978 4.146
1.383 -1.978 4.146
1.383 1.978 -4.146
Tc Pt
1 2
direct
0.000 0.000 0.000
0.337 0.337 0.000
0.663 0.663 0.000
```

Results
The energy relative to the elements comes out at -0.165 eV/atom. For the polymorph energy (0 for the lowest one), the calculation gives 0.028 eV/atom.



Record 6
First-principles (GGA-PBE) data for a geometry-optimized TcPt2 structure, as listed in Alexandria via LeMat-Bulk.

```
TcPt2
1.0
-3.147 3.147 2.456
3.147 -3.147 2.456
3.147 3.147 -2.456
Tc Pt
2 4
direct
0.250 0.250 0.000
0.750 0.750 0.000
0.146 0.646 0.792
0.354 0.146 0.500
0.646 0.854 0.500
0.854 0.354 0.208
```

Results
The energy relative to the elements comes out at 0.184 eV/atom. For the polymorph energy (0 for the lowest one), the calculation gives 0.377 eV/atom.



Record 7
First-principles (GGA-PBE) data for a geometry-optimized TcPt3 structure, as listed in Alexandria via LeMat-Bulk.

```
TcPt3
1.0
4.817 0.000 0.000
0.000 4.817 0.000
0.000 0.000 4.817
Tc Pt
1 3
direct
0.000 0.000 0.000
0.000 0.000 0.500
0.000 0.500 0.000
0.500 0.000 0.000
```

Results
The energy relative to the elements comes out at 1.604 eV/atom.



Record 8
First-principles (GGA-PBE) data for a geometry-optimized Tc3Pt structure, as listed in Alexandria via LeMat-Bulk.

```
Tc3Pt
1.0
0.000 3.112 3.112
3.112 0.000 3.112
3.112 3.112 0.000
Tc Pt
3 1
direct
0.000 0.000 0.000
0.250 0.250 0.250
0.750 0.750 0.750
0.500 0.500 0.500
```

Results
The energy relative to the elements comes out at 0.289 eV/atom. For the polymorph energy (0 for the lowest one), the calculation gives 0.553 eV/atom.



Record 9
First-principles (GGA-PBE) data for a geometry-optimized Tc2Pt structure, as listed in Alexandria via LeMat-Bulk.

```
Tc2Pt
1.0
-1.954 1.954 11.603
1.954 -1.954 11.603
1.954 1.954 -11.603
Tc Pt
8 4
direct
0.124 0.374 0.750
0.293 0.543 0.750
0.374 0.124 0.250
0.457 0.707 0.750
0.543 0.293 0.250
0.626 0.876 0.750
0.707 0.457 0.250
0.876 0.626 0.250
0.043 0.793 0.250
0.207 0.957 0.250
0.793 0.043 0.750
0.957 0.207 0.750
```

Results
The energy relative to the elements comes out at -0.148 eV/atom. For the polymorph energy (0 for the lowest one), the calculation gives 0.062 eV/atom.



Record 10
First-principles (GGA-PBE) data for a geometry-optimized TcPt2 structure, as listed in Alexandria via LeMat-Bulk.

```
TcPt2
1.0
-1.687 1.687 4.102
1.687 -1.687 4.102
1.687 1.687 -4.102
Tc Pt
1 2
direct
0.000 0.000 0.000
0.335 0.335 0.000
0.665 0.665 0.000
```

Results
The energy relative to the elements comes out at -0.011 eV/atom. For the polymorph energy (0 for the lowest one), the calculation gives 0.181 eV/atom.



Record 11
First-principles (GGA-PBE) data for a geometry-optimized TcPt2 structure, as listed in Alexandria via LeMat-Bulk.

```
TcPt2
1.0
4.526 0.000 0.000
0.000 4.526 0.000
0.000 0.000 2.717
Tc Pt
1 2
direct
0.000 0.000 0.000
0.000 0.500 0.500
0.500 0.000 0.500
```

Results
The energy relative to the elements comes out at 0.472 eV/atom. For the polymorph energy (0 for the lowest one), the calculation gives 0.664 eV/atom.



Record 12
First-principles (GGA-PBE) data for a geometry-optimized Tc2Pt structure, as listed in Alexandria via LeMat-Bulk.

```
Tc2Pt
1.0
-1.381 1.381 5.860
1.381 -1.381 5.860
1.381 1.381 -5.860
Tc Pt
2 1
direct
0.174 0.174 0.000
0.826 0.826 0.000
0.500 0.500 0.000
```

Results
The energy relative to the elements comes out at -0.108 eV/atom. For the polymorph energy (0 for the lowest one), the calculation gives 0.102 eV/atom.